No. 1
Density functional theory data (SCAN) for a crystal of Fe2ReSi relaxed with PBEsol.

Calculated values
formation energy (no corrections)	-0.047	eV/atom
V	12.02	Å³ per atom

```
data_Fe2ReSi
_chemical_formula_sum 'Fe2 Re1 Si1'
_space_group_name_H-M_alt 'P 1 m 1'
_space_group_IT_number 6
_cell_length_a 2.605
_cell_length_b 3.960
_cell_length_c 4.706
_cell_angle_alpha 90.00
_cell_angle_beta 97.95
_cell_angle_gamma 90.00
loop_
_space_group_symop_operation_xyz
'x,y,z'
'x,-y,z'
loop_
_atom_site_label
_atom_site_type_symbol
_atom_site_fract_x
_atom_site_fract_y
_atom_site_fract_z
_atom_site_occupancy
Fe1 Fe 0.000 0.000 0.000 1
Fe2 Fe 0.280 0.500 0.779 1
Re1 Re 0.699 0.500 0.278 1
Si1 Si 0.296 0.000 0.519 1
```



No. 2
Density functional theory data (SCAN) for a crystal of Fe2ReSi relaxed with PBEsol.

Calculated values
formation energy (no corrections)	-0.167	eV/atom
V	11.17	Å³ per atom

```
data_Fe2ReSi
_chemical_formula_sum 'Fe2 Re1 Si1'
_space_group_name_H-M_alt 'P 4/m m m'
_space_group_IT_number 123
_space_group_name_Hall '-P 4 2'
_cell_length_a 2.671
_cell_length_b 2.671
_cell_length_c 6.260
_cell_angle_alpha 90.00
_cell_angle_beta 90.00
_cell_angle_gamma 90.00
loop_
_atom_site_label
_atom_site_type_symbol
_atom_site_fract_x
_atom_site_fract_y
_atom_site_fract_z
_atom_site_occupancy
Fe1 Fe 0.000 0.000 0.220 1
Re1 Re 0.500 0.500 0.500 1
Si1 Si 0.500 0.500 0.000 1
```



No. 3
Density functional theory data (SCAN) for a crystal of SrFe3Re relaxed with PBEsol.

Calculated values
formation energy from the elements	2.910	eV per atom
V	17.04	Å³ per atom

```
data_SrFe3Re
_chemical_formula_sum 'Sr1 Fe3 Re1'
_space_group_name_H-M_alt 'P m -3 m'
_space_group_IT_number 221
_space_group_name_Hall '-P 4 2 3'
_cell_length_a 4.400
_cell_length_b 4.400
_cell_length_c 4.400
_cell_angle_alpha 90.00
_cell_angle_beta 90.00
_cell_angle_gamma 90.00
loop_
_atom_site_label
_atom_site_type_symbol
_atom_site_fract_x
_atom_site_fract_y
_atom_site_fract_z
_atom_site_occupancy
Sr1 Sr 0.000 0.000 0.000 1
Fe1 Fe 0.000 0.000 0.500 1
Re1 Re 0.500 0.500 0.500 1
```



No. 4
Density functional theory data (SCAN) for a crystal of Sr2FeRe relaxed with PBEsol.

Calculated values
excess energy over the best structure of this formula in the dataset	0.578	eV per atom
formation energy from the elements	1.244	eV per atom
V	21.44	Å³ per atom

```
data_Sr2FeRe
_chemical_formula_sum 'Sr4 Fe2 Re2'
_space_group_name_H-M_alt 'C m m m'
_space_group_IT_number 65
_space_group_name_Hall '-C 2 2'
_cell_length_a 6.112
_cell_length_b 9.753
_cell_length_c 2.878
_cell_angle_alpha 90.00
_cell_angle_beta 90.00
_cell_angle_gamma 90.00
loop_
_atom_site_label
_atom_site_type_symbol
_atom_site_fract_x
_atom_site_fract_y
_atom_site_fract_z
_atom_site_occupancy
Sr1 Sr 0.250 0.250 0.000 1
Fe1 Fe 0.000 0.000 0.500 1
Re1 Re 0.000 0.500 0.500 1
```



No. 5
Density functional theory data (SCAN) for a crystal of Sr2FeRe relaxed with PBEsol.

Calculated values
excess energy over the best structure of this formula in the dataset	0.710	eV per atom
formation energy from the elements	1.375	eV per atom
V	21.40	Å³ per atom

```
data_Sr2FeRe
_chemical_formula_sum 'Sr4 Fe2 Re2'
_space_group_name_H-M_alt 'C 1 2/m 1'
_space_group_IT_number 12
_cell_length_a 10.050
_cell_length_b 2.829
_cell_length_c 6.036
_cell_angle_alpha 90.00
_cell_angle_beta 93.84
_cell_angle_gamma 90.00
loop_
_space_group_symop_operation_xyz
'x,y,z'
'-x,-y,-z'
'-x,y,-z'
'x,-y,z'
'x+1/2,y+1/2,z'
'-x+1/2,-y+1/2,-z'
'-x+1/2,y+1/2,-z'
'x+1/2,-y+1/2,z'
loop_
_atom_site_label
_atom_site_type_symbol
_atom_site_fract_x
_atom_site_fract_y
_atom_site_fract_z
_atom_site_occupancy
Sr1 Sr 0.247 0.000 0.251 1
Fe1 Fe 0.000 0.000 0.500 1
Re1 Re 0.000 0.500 0.000 1
```



No. 6
Density functional theory data (SCAN) for a crystal of Sr2FeRe relaxed with PBEsol.

Calculated values
excess energy over the best structure of this formula in the dataset	0.000	eV per atom
formation energy from the elements	0.665	eV per atom
V	24.00	Å³ per atom

```
data_Sr2FeRe
_chemical_formula_sum 'Sr2 Fe1 Re1'
_space_group_name_H-M_alt 'P 1 m 1'
_space_group_IT_number 6
_cell_length_a 3.208
_cell_length_b 3.239
_cell_length_c 9.248
_cell_angle_alpha 90.00
_cell_angle_beta 92.51
_cell_angle_gamma 90.00
loop_
_space_group_symop_operation_xyz
'x,y,z'
'x,-y,z'
loop_
_atom_site_label
_atom_site_type_symbol
_atom_site_fract_x
_atom_site_fract_y
_atom_site_fract_z
_atom_site_occupancy
Sr1 Sr 0.000 0.000 0.000 1
Sr2 Sr 0.422 0.500 0.401 1
Fe1 Fe 0.952 0.000 0.650 1
Re1 Re 0.466 0.500 0.741 1
```



No. 7
Density functional theory data (SCAN) for a crystal of Ta4FeRe relaxed with PBEsol.

Calculated values
formation energy from the elements	0.508	eV per atom
V	17.10	Å³ per atom

```
data_Ta4FeRe
_chemical_formula_sum 'Ta16 Fe4 Re4'
_space_group_name_H-M_alt 'F -4 3 m'
_space_group_IT_number 216
_space_group_name_Hall 'F -4 2 3'
_cell_length_a 7.432
_cell_length_b 7.432
_cell_length_c 7.432
_cell_angle_alpha 90.00
_cell_angle_beta 90.00
_cell_angle_gamma 90.00
loop_
_atom_site_label
_atom_site_type_symbol
_atom_site_fract_x
_atom_site_fract_y
_atom_site_fract_z
_atom_site_occupancy
Ta1 Ta 0.124 0.124 0.376 1
Fe1 Fe 0.000 0.000 0.000 1
Re1 Re 0.250 0.250 0.750 1
```



No. 8
Density functional theory data (SCAN) for a crystal of Fe2ReTc relaxed with PBEsol.

Calculated values
formation energy from the elements	0.245	eV per atom
V	12.10	Å³ per atom

```
data_Fe2ReTc
_chemical_formula_sum 'Fe4 Re2 Tc2'
_space_group_name_H-M_alt 'C m m m'
_space_group_IT_number 65
_space_group_name_Hall '-C 2 2'
_cell_length_a 5.204
_cell_length_b 7.126
_cell_length_c 2.610
_cell_angle_alpha 90.00
_cell_angle_beta 90.00
_cell_angle_gamma 90.00
loop_
_atom_site_label
_atom_site_type_symbol
_atom_site_fract_x
_atom_site_fract_y
_atom_site_fract_z
_atom_site_occupancy
Fe1 Fe 0.250 0.250 0.000 1
Re1 Re 0.000 0.000 0.500 1
Tc1 Tc 0.000 0.500 0.500 1
```



No. 9
Density functional theory data (SCAN) for a crystal of FeRe2Tc relaxed with PBEsol.

Calculated values
excess energy over the best structure of this formula in the dataset	0.006	eV per atom
formation energy from the elements	0.059	eV per atom
V	13.45	Å³ per atom

```
data_FeRe2Tc
_chemical_formula_sum 'Fe2 Re4 Tc2'
_space_group_name_H-M_alt 'I 4/m m m'
_space_group_IT_number 139
_space_group_name_Hall '-I 4 2'
_cell_length_a 3.787
_cell_length_b 3.787
_cell_length_c 7.500
_cell_angle_alpha 90.00
_cell_angle_beta 90.00
_cell_angle_gamma 90.00
loop_
_atom_site_label
_atom_site_type_symbol
_atom_site_fract_x
_atom_site_fract_y
_atom_site_fract_z
_atom_site_occupancy
Fe1 Fe 0.000 0.000 0.000 1
Re1 Re 0.000 0.500 0.250 1
Tc1 Tc 0.000 0.000 0.500 1
```



No. 10
Density functional theory data (SCAN) for a crystal of Fe2ReTc relaxed with PBEsol.

Calculated values
formation energy from the elements	0.246	eV per atom
V	12.10	Å³ per atom

```
data_Fe2ReTc
_chemical_formula_sum 'Fe2 Re1 Tc1'
_space_group_name_H-M_alt 'P 4/m m m'
_space_group_IT_number 123
_space_group_name_Hall '-P 4 2'
_cell_length_a 3.682
_cell_length_b 3.682
_cell_length_c 3.570
_cell_angle_alpha 90.00
_cell_angle_beta 90.00
_cell_angle_gamma 90.00
loop_
_atom_site_label
_atom_site_type_symbol
_atom_site_fract_x
_atom_site_fract_y
_atom_site_fract_z
_atom_site_occupancy
Fe1 Fe 0.000 0.500 0.000 1
Re1 Re 0.000 0.000 0.500 1
Tc1 Tc 0.500 0.500 0.500 1
```



No. 11
Density functional theory data (SCAN) for a crystal of Fe2ReTc relaxed with PBEsol.

Calculated values
formation energy from the elements	0.246	eV per atom
V	12.10	Å³ per atom

```
data_Fe2ReTc
_chemical_formula_sum 'Fe2 Re1 Tc1'
_space_group_name_H-M_alt 'P m m m'
_space_group_IT_number 47
_cell_length_a 2.609
_cell_length_b 3.559
_cell_length_c 5.212
_cell_angle_alpha 90.00
_cell_angle_beta 90.00
_cell_angle_gamma 90.00
loop_
_space_group_symop_operation_xyz
'x,y,z'
'-x,-y,-z'
'-x,-y,z'
'x,y,-z'
'x,-y,-z'
'-x,y,z'
'-x,y,-z'
'x,-y,z'
loop_
_atom_site_label
_atom_site_type_symbol
_atom_site_fract_x
_atom_site_fract_y
_atom_site_fract_z
_atom_site_occupancy
Fe1 Fe 0.000 0.000 0.248 1
Re1 Re 0.500 0.500 0.500 1
Tc1 Tc 0.500 0.500 0.000 1
```



No. 12
Density functional theory data (SCAN) for a crystal of Fe2ReTc relaxed with PBEsol.

Calculated values
formation energy from the elements	-0.008	eV per atom
V	12.67	Å³ per atom

```
data_Fe2ReTc
_chemical_formula_sum 'Fe4 Re2 Tc2'
_space_group_name_H-M_alt 'I m m 2'
_space_group_IT_number 44
_cell_length_a 2.977
_cell_length_b 4.133
_cell_length_c 8.237
_cell_angle_alpha 90.00
_cell_angle_beta 90.00
_cell_angle_gamma 90.00
loop_
_space_group_symop_operation_xyz
'x,y,z'
'-x,-y,z'
'-x,y,z'
'x,-y,z'
'x+1/2,y+1/2,z+1/2'
'-x+1/2,-y+1/2,z+1/2'
'-x+1/2,y+1/2,z+1/2'
'x+1/2,-y+1/2,z+1/2'
loop_
_atom_site_label
_atom_site_type_symbol
_atom_site_fract_x
_atom_site_fract_y
_atom_site_fract_z
_atom_site_occupancy
Fe1 Fe 0.000 0.000 0.000 1
Fe2 Fe 0.000 0.500 0.268 1
Re1 Re 0.000 0.000 0.516 1
Tc1 Tc 0.000 0.500 0.754 1
```



No. 13
Density functional theory data (SCAN) for a crystal of FeReTc2 relaxed with PBEsol.

Calculated values
formation energy from the elements	0.064	eV per atom
V	13.54	Å³ per atom

```
data_FeReTc2
_chemical_formula_sum 'Fe2 Re2 Tc4'
_space_group_name_H-M_alt 'I m m 2'
_space_group_IT_number 44
_cell_length_a 3.001
_cell_length_b 4.210
_cell_length_c 8.572
_cell_angle_alpha 90.00
_cell_angle_beta 90.00
_cell_angle_gamma 90.00
loop_
_space_group_symop_operation_xyz
'x,y,z'
'-x,-y,z'
'-x,y,z'
'x,-y,z'
'x+1/2,y+1/2,z+1/2'
'-x+1/2,-y+1/2,z+1/2'
'-x+1/2,y+1/2,z+1/2'
'x+1/2,-y+1/2,z+1/2'
loop_
_atom_site_label
_atom_site_type_symbol
_atom_site_fract_x
_atom_site_fract_y
_atom_site_fract_z
_atom_site_occupancy
Fe1 Fe 0.000 0.000 0.000 1
Re1 Re 0.000 0.500 0.736 1
Tc1 Tc 0.000 0.000 0.498 1
Tc2 Tc 0.000 0.500 0.261 1
```



No. 14
Density functional theory data (SCAN) for a crystal of FeReTc2 relaxed with PBEsol.

Calculated values
formation energy from the elements	0.055	eV per atom
V	13.27	Å³ per atom

```
data_FeReTc2
_chemical_formula_sum 'Fe1 Re1 Tc2'
_space_group_name_H-M_alt 'P 4/m m m'
_space_group_IT_number 123
_space_group_name_Hall '-P 4 2'
_cell_length_a 3.754
_cell_length_b 3.754
_cell_length_c 3.766
_cell_angle_alpha 90.00
_cell_angle_beta 90.00
_cell_angle_gamma 90.00
loop_
_atom_site_label
_atom_site_type_symbol
_atom_site_fract_x
_atom_site_fract_y
_atom_site_fract_z
_atom_site_occupancy
Fe1 Fe 0.000 0.000 0.000 1
Re1 Re 0.500 0.500 0.000 1
Tc1 Tc 0.000 0.500 0.500 1
```



No. 15
Density functional theory data (SCAN) for a crystal of FeReTc2 relaxed with PBEsol.

Calculated values
formation energy from the elements	0.129	eV per atom
V	13.22	Å³ per atom

```
data_FeReTc2
_chemical_formula_sum 'Fe1 Re1 Tc2'
_space_group_name_H-M_alt 'P 4/m m m'
_space_group_IT_number 123
_space_group_name_Hall '-P 4 2'
_cell_length_a 2.668
_cell_length_b 2.668
_cell_length_c 7.427
_cell_angle_alpha 90.00
_cell_angle_beta 90.00
_cell_angle_gamma 90.00
loop_
_atom_site_label
_atom_site_type_symbol
_atom_site_fract_x
_atom_site_fract_y
_atom_site_fract_z
_atom_site_occupancy
Fe1 Fe 0.000 0.000 0.000 1
Re1 Re 0.000 0.000 0.500 1
Tc1 Tc 0.500 0.500 0.232 1
```